Pr2Tl3In3 | GGA-PBEsol | optimized geometry

Lattice parameters (Å, degrees): 4.6962 4.7130 9.3521 90.00 90.00 90.00
With the nearest neighbours (Å) after each atom.
Positions (direct):
Pr 0.0000 0.0000 0.2511  6 Tl 3.31-3.33, 6 In 3.31-3.33
Pr 0.0000 0.0000 0.7489  6 Tl 3.31-3.33, 6 In 3.31-3.33
In 0.5000 0.5000 0.2539  2 In 3.29, 6 Tl 3.29-3.35, 4 Pr 3.33
In 0.0000 0.5000 0.5000  4 In 3.29, 4 Pr 3.31, 4 Tl 3.33
In 0.5000 0.5000 0.7461  2 In 3.29, 6 Tl 3.29-3.35, 4 Pr 3.33
Tl 0.5000 0.0000 0.0000  4 Pr 3.32, 4 Tl 3.33, 4 In 3.35
Tl 0.0000 0.5000 0.0000  4 Tl 3.33, 4 Pr 3.33, 4 In 3.34
Tl 0.5000 0.0000 0.5000  8 In 3.29-3.33, 4 Pr 3.31

Values from the calculation:
* SG: No. 47
* VASP energy: -3.849 eV per atom